The following is a GGA-PBE calculation of BeBiNO2 after structural relaxation, from the Alexandria database.

Computed properties:
**Total DFT energy (no corrections)**: -21.90 eV for the cell shown
**Size of the total moment**: 0.021 μB/atom
**SG**: No. 123

a b c (Å): 4.1472 4.1472 4.3147
angles (deg): 90.00 90.00 90.00
Last column: nearest neighbours and their distance in Å.
Fractional coordinates of all 5 atoms:
1 O 0.5000 0.0000 0.0000  2 Bi 2.07
2 N 0.0000 0.0000 0.5000  2 Bi 2.16
3 O 0.0000 0.5000 0.0000  2 Bi 2.07
4 Bi 0.0000 0.0000 0.0000  4 O 2.07, 2 N 2.16
5 Be 0.5000 0.5000 0.5000  4 N 2.93, 8 O 2.99